No. 1
A plane-wave DFT calculation with PBE-GGA was carried out for a relaxed structure of Ti3CrS8.

Values from the calculation:
Formation energy without anion corrections   -1087 meV per atom
SG   C2/m
Electronic total energy   -6.615 eV/atom

abc: 6.7100 6.7171 7.7547
angles: 116.17 90.00 119.97
Each line ends with the local moment (μB).
Sites, in units of the cell vectors:
Ti (0.5000, 0.0000, 0.0000)  0.05
Ti (0.5000, 0.5000, 0.0000)  0.05
Ti (0.0000, 0.5000, 0.0000)  0.05
Cr (0.0000, 0.0000, 0.0000)  2.30
S (0.2595, 0.5191, 0.7823)  -0.03
S (0.7405, 0.4809, 0.2177)  -0.03
S (0.2552, 0.0190, 0.7864)  -0.04
S (0.7638, 0.0190, 0.7864)  -0.04
S (0.7638, 0.5275, 0.7864)  -0.04
S (0.2362, 0.4725, 0.2136)  -0.04
S (0.2362, 0.9810, 0.2136)  -0.04
S (0.7448, 0.9810, 0.2136)  -0.04

No. 2
A plane-wave DFT calculation with PBE-GGA was carried out for a relaxed structure of Ca2ZnSi.

Values from the calculation:
Formation energy without anion corrections   -401 meV per atom
SG   P2_1/m
Electronic total energy   -3.076 eV/atom

abc: 4.2785 6.0877 8.1362
angles: 109.73 90.00 90.00
Sites, in units of the cell vectors:
Ca (0.7500, 0.2179, 0.4314)
Ca (0.2500, 0.7821, 0.5686)
Ca (0.2500, 0.7987, 0.0770)
Ca (0.7500, 0.2013, 0.9230)
Zn (0.7500, 0.6232, 0.2758)
Zn (0.2500, 0.3768, 0.7242)
Si (0.2500, 0.3619, 0.2138)
Si (0.7500, 0.6381, 0.7862)

No. 3
A plane-wave DFT calculation with PBE-GGA was carried out for a relaxed structure of Al2Ag7Au.

Values from the calculation:
SG   Cmmm
Electronic total energy   -2.843 eV/atom

abc: 4.4578 7.6010 7.6010
angles: 120.39 90.00 90.00
Sites, in units of the cell vectors:
Al (0.5000, 0.6965, 0.3035)
Al (0.5000, 0.3035, 0.6965)
Ag (0.0000, 0.7906, 0.2094)
Ag (0.0000, 0.2094, 0.7906)
Ag (0.5000, 0.0727, 0.2982)
Ag (0.5000, 0.9273, 0.7018)
Ag (0.5000, 0.2982, 0.0727)
Ag (0.5000, 0.7018, 0.9273)
Ag (0.5000, 0.5000, 0.5000)
Au (0.0000, 0.0000, 0.0000)

No. 4
A plane-wave DFT calculation with PBE-GGA was carried out for a relaxed structure of TcTe2RuI.

Values from the calculation:
Formation energy without anion corrections   1118 meV per atom
SG   P4/mmm
Electronic total energy   -4.377 eV/atom

abc: 5.1686 5.1686 5.4756
angles: 90.00 90.00 90.00
Each line ends with the local moment (μB).
Sites, in units of the cell vectors:
I (0.0000, 0.0000, 0.5000)  0.07
Ru (0.0000, 0.0000, 0.0000)  -0.56
Te (0.0000, 0.5000, 0.0000)  -0.12
Te (0.5000, 0.0000, 0.0000)  -0.12
Tc (0.5000, 0.5000, 0.5000)  3.75

> What is the electronic total energy in the first record?

-6.615 eV/atom

> The highest electronic total energy belongs to which entry?

Al2Ag7Au

Copy entry 4 word for word.
A plane-wave DFT calculation with PBE-GGA was carried out for a relaxed structure of TcTe2RuI.

Values from the calculation:
Formation energy without anion corrections   1118 meV per atom
SG   P4/mmm
Electronic total energy   -4.377 eV/atom

abc: 5.1686 5.1686 5.4756
angles: 90.00 90.00 90.00
Each line ends with the local moment (μB).
Sites, in units of the cell vectors:
I (0.0000, 0.0000, 0.5000)  0.07
Ru (0.0000, 0.0000, 0.0000)  -0.56
Te (0.0000, 0.5000, 0.0000)  -0.12
Te (0.5000, 0.0000, 0.0000)  -0.12
Tc (0.5000, 0.5000, 0.5000)  3.75